#A
Entry from the Alexandria database: an optimized crystal structure of Sr2ZnPtN (PBE).

abc: 5.4682 5.4682 3.8770
angles: 90.00 90.00 90.00
With the nearest neighbours (Å) after each atom.
Fractional coordinates of all 5 atoms:
Sr (0.0000, 0.5000, 0.0000)  2 N 2.73
Sr (0.5000, 0.0000, 0.0000)  2 N 2.73
Zn (0.0000, 0.0000, 0.5000)  8 Sr 3.35
Pt (0.5000, 0.5000, 0.5000)  2 N 1.94
N (0.5000, 0.5000, 0.0000)  2 Pt 1.94

Computed properties:
total magnetic moment	0.0	Bohr magnetons per cell
space-group type	No. 123
volume	116	Å³/f.u.


#B
Entry from the Alexandria database: an optimized crystal structure of Sr2ZnPtN (PBE).

abc: 5.3098 5.3098 3.8576
angles: 90.00 90.00 90.00
With the nearest neighbours (Å) after each atom.
Fractional coordinates of all 5 atoms:
Sr (0.0000, 0.5000, 0.0000)  2 N 2.65
Sr (0.5000, 0.0000, 0.0000)  2 N 2.65
Zn (0.0000, 0.0000, 0.5000)  2 N 1.93
Pt (0.5000, 0.5000, 0.5000)  8 Sr 3.28
N (0.0000, 0.0000, 0.0000)  2 Zn 1.93

Computed properties:
total magnetic moment	0.0	Bohr magnetons per cell
space-group type	No. 123
volume	109	Å³/f.u.


#C
Entry from the Alexandria database: an optimized crystal structure of Sr2ZnPtN (PBE).

abc: 6.9493 4.0260 8.6080
angles: 90.00 108.64 90.00
With the nearest neighbours (Å) after each atom.
Fractional coordinates of all 10 atoms:
Sr (0.1715, 0.2500, 0.3780)  2 N 2.69
Sr (0.2040, 0.2500, 0.9640)  3 N 2.53-2.74
Sr (0.7960, 0.7500, 0.0360)  3 N 2.53-2.74
Sr (0.8285, 0.7500, 0.6220)  2 N 2.69
Zn (0.4676, 0.7500, 0.2577)  1 N 1.92
Zn (0.5324, 0.2500, 0.7423)  1 N 1.92
Pt (0.3082, 0.7500, 0.6959)  2 Zn 2.50
Pt (0.6918, 0.2500, 0.3041)  2 Zn 2.50
N (0.1765, 0.7500, 0.1715)  1 Zn 1.92
N (0.8235, 0.2500, 0.8285)  1 Zn 1.92

Computed properties:
total magnetic moment	0.0	Bohr magnetons per cell
space-group type	No. 11
volume	114	Å³/f.u.


Tell me which of them is the least stable. Sure, it is #A.